The following is a DFT calculation (PBE) of a relaxed structure of FeC8N6.

Unit cell a=5.096 b=7.065 c=10.170 alpha=90.00 beta=90.00 gamma=90.00
Fractional positions:
N  0.794  0.199  0.073
C  0.688  0.167  0.384
Fe  0.000  0.500  0.500
Fe  0.000  0.000  0.000
N  0.794  0.699  0.427
N  0.206  0.301  0.573
N  0.794  0.801  0.073
C  0.375  0.500  0.259
N  0.782  0.000  0.844
C  0.625  0.500  0.741
N  0.218  0.500  0.344
C  0.312  0.833  0.616
C  0.312  0.667  0.884
C  0.625  0.000  0.759
N  0.794  0.301  0.427
C  0.571  0.500  0.162
N  0.206  0.801  0.927
C  0.312  0.333  0.884
C  0.688  0.667  0.116
C  0.688  0.833  0.384
N  0.782  0.500  0.656
C  0.429  0.500  0.838
N  0.218  0.000  0.156
C  0.312  0.167  0.616
C  0.429  0.000  0.662
N  0.206  0.699  0.573
C  0.375  0.000  0.241
C  0.571  0.000  0.338
C  0.688  0.333  0.116
N  0.206  0.199  0.927

Space-group type: Pmna
Final energy: -8.398 eV/atom
Raw formation energy: 0.415 eV per atom
Volume: 366.1 Å³ per cell